Y3Al (PBE, relaxed); ΔE_f = -0.15 eV per atom; total DFT energy (no corrections) = -23.7 eV/cell; space-group type = I4/mmm, No. 139; volume = 27.32 Å³ per atom
1.0
-2.349 2.349 4.953
2.349 -2.349 4.953
2.349 2.349 -4.953
Y Al
3 1
Direct
0.000 0.000 0.000 Y
0.250 0.750 0.500 Y
0.750 0.250 0.500 Y
0.500 0.500 0.000 Al